# PBE Ac2Dy4Ge3O2, relaxed
data_Ac2Dy4Ge3O2
_space_group_name_H-M_alt 'I 4/m m m'
_space_group_IT_number 139
_space_group_name_Hall '-I 4 2'
_cell_length_a 4.634
_cell_length_b 4.634
_cell_length_c 24.933
_cell_angle_alpha 90.00
_cell_angle_beta 90.00
_cell_angle_gamma 90.00
loop_
_atom_site_label
_atom_site_fract_x
_atom_site_fract_y
_atom_site_fract_z
Ac1 0.000 0.000 0.197
Dy1 0.000 0.500 0.077
Ge1 0.000 0.000 0.336
Ge2 0.000 0.000 0.500
O1 0.000 0.000 0.087
# **Size of the total moment**: 2.1 μB per cell
# **Formation energy without anion corrections**: -1.582 eV/atom